Run i
Material: KAl2W
Method: DFT, GGA-PBE
State: relaxed

Summary:
- Total magnetic moment: 0.000 μB/f.u.

a = 4.8814 Å, b = 4.8814 Å, c = 7.7090 Å
α = 85.68°, β = 85.68°, γ = 32.95°
Last column: nearest neighbours and their distance in Å.
Sites, in units of the cell vectors:
1 K 0.4967 0.4967 0.4882  2 K 2.77
2 Al 0.0031 0.0031 0.0441  3 W 2.61-2.63, 4 Al 2.77-2.90
3 Al 0.7322 0.7322 0.8414  2 W 2.64, 4 Al 2.77-2.90
4 W 0.2680 0.2680 0.1263  5 Al 2.61-2.64, 2 W 2.77

***

Run ii
Material: KAl2W
Method: DFT, GGA-PBE
State: relaxed

Summary:
- Total magnetic moment: 0.000 μB/f.u.

a = 10.5587 Å, b = 10.5587 Å, c = 10.5587 Å
α = 16.07°, β = 16.07°, γ = 16.07°
Last column: nearest neighbours and their distance in Å.
Sites, in units of the cell vectors:
1 K 0.2500 0.2500 0.2500  6 K 2.95
2 Al 0.4867 0.4867 0.4867  3 W 2.77, 6 Al 2.95
3 Al 0.0133 0.0133 0.0133  3 W 2.77, 6 Al 2.95
4 W 0.7500 0.7500 0.7500  6 Al 2.77, 6 W 2.95

***

Run iii
Material: KAl2W
Method: DFT, GGA-PBE
State: relaxed

Summary:
- Total magnetic moment: 0.000 μB/f.u.

a = 4.7085 Å, b = 4.7085 Å, c = 7.3334 Å
α = 86.11°, β = 86.11°, γ = 34.26°
Last column: nearest neighbours and their distance in Å.
Sites, in units of the cell vectors:
1 K 0.7500 0.7500 0.7500  2 K 2.77
2 W 0.2500 0.2500 0.2500  6 Al 2.71-2.74, 2 W 2.77
3 Al 0.9871 0.9871 0.0908  3 W 2.71-2.74, 4 Al 2.74-2.77
4 Al 0.5129 0.5129 0.4092  3 W 2.71-2.74, 4 Al 2.74-2.77

***

Run iv
Material: KAl2W
Method: DFT, GGA-PBE
State: relaxed

Summary:
- Total magnetic moment: 0.000 μB/f.u.

a = 2.8275 Å, b = 2.8275 Å, c = 9.9689 Å
α = 90.00°, β = 90.00°, γ = 90.00°
Last column: nearest neighbours and their distance in Å.
Sites, in units of the cell vectors:
1 K 0.5000 0.5000 0.2500  4 K 2.83
2 W 0.5000 0.5000 0.7500  4 W 2.83, 8 Al 2.86
3 Al 0.0000 0.0000 0.9550  4 Al 2.83, 4 W 2.86
4 Al 0.0000 0.0000 0.5450  4 Al 2.83, 4 W 2.86

***

Most stable pick: run iv. Distance to second place: 82 meV/atom.